(1)
Here is Nd3CuSnSe7 at its PBEsol-relaxed geometry from the Alexandria database. Energies are from meta-GGA SCAN.

Results
Energy   -680.52 eV/cell
Crystal system   hexagonal

The structure in CIF format:
```
data_Nd3CuSnSe7
_chemical_formula_sum 'Nd6 Cu2 Sn2 Se14'
_space_group_name_H-M_alt 'P 1'
_space_group_IT_number 1
_cell_length_a 10.499
_cell_length_b 10.499
_cell_length_c 6.160
_cell_angle_alpha 90.00
_cell_angle_beta 90.00
_cell_angle_gamma 120.00
loop_
_space_group_symop_operation_xyz
'x,y,z'
loop_
_atom_site_label
_atom_site_fract_x
_atom_site_fract_y
_atom_site_fract_z
Nd1 0.135 0.780 0.000
Nd2 0.220 0.355 0.000
Nd3 0.355 0.135 0.500
Nd4 0.645 0.865 0.000
Nd5 0.780 0.645 0.500
Nd6 0.865 0.220 0.500
Cu1 0.000 0.000 0.030
Cu2 0.000 0.000 0.530
Sn1 0.333 0.667 0.422
Sn2 0.667 0.333 0.922
Se1 0.082 0.511 0.247
Se2 0.100 0.842 0.521
Se3 0.158 0.258 0.521
Se4 0.258 0.100 0.021
Se5 0.333 0.667 0.826
Se6 0.429 0.918 0.247
Se7 0.489 0.571 0.247
Se8 0.511 0.429 0.747
Se9 0.571 0.082 0.747
Se10 0.667 0.333 0.326
Se11 0.742 0.900 0.521
Se12 0.842 0.742 0.021
Se13 0.900 0.158 0.021
Se14 0.918 0.489 0.747
```

---

(2)
Here is NdCuSi at its PBEsol-relaxed geometry from the Alexandria database. Energies are from meta-GGA SCAN.

Results
Energy   -141.58 eV/cell
Crystal system   hexagonal

The structure in CIF format:
```
data_NdCuSi
_chemical_formula_sum 'Nd2 Cu2 Si2'
_space_group_name_H-M_alt 'P 1'
_space_group_IT_number 1
_cell_length_a 4.147
_cell_length_b 4.147
_cell_length_c 7.883
_cell_angle_alpha 90.00
_cell_angle_beta 90.00
_cell_angle_gamma 120.00
loop_
_space_group_symop_operation_xyz
'x,y,z'
loop_
_atom_site_label
_atom_site_fract_x
_atom_site_fract_y
_atom_site_fract_z
Nd1 0.000 0.000 0.000
Nd2 0.000 0.000 0.500
Cu1 0.333 0.667 0.250
Cu2 0.667 0.333 0.750
Si1 0.333 0.667 0.750
Si2 0.667 0.333 0.250
```

---

(3)
Here is NdCuSi at its PBEsol-relaxed geometry from the Alexandria database. Energies are from meta-GGA SCAN.

Results
Energy   -70.75 eV/cell
Crystal system   hexagonal

The structure in CIF format:
```
data_NdCuSi
_chemical_formula_sum 'Nd1 Cu1 Si1'
_space_group_name_H-M_alt 'P 1'
_space_group_IT_number 1
_cell_length_a 4.077
_cell_length_b 4.077
_cell_length_c 4.098
_cell_angle_alpha 90.00
_cell_angle_beta 90.00
_cell_angle_gamma 120.00
loop_
_space_group_symop_operation_xyz
'x,y,z'
loop_
_atom_site_label
_atom_site_fract_x
_atom_site_fract_y
_atom_site_fract_z
Nd1 0.000 0.000 0.000
Cu1 0.667 0.333 0.500
Si1 0.333 0.667 0.500
```

---

What did we get for formation energy from raw total energies? Answer: -1.487 -0.664 -0.651 eV per atom, in the order shown.